# PBE Sc2Mn3Ru, optimized geometry
# calculated formation energy = -0.24 eV/atom
# N(E_F) = 12.171 states/eV/cell
# magnetization = 1.96 μB per formula unit
# electronic total energy = -8.486 eV/atom
data_Sc2Mn3Ru
_chemical_formula_sum 'Sc4 Mn6 Ru2'
_space_group_name_H-M_alt 'C 1 2/m 1'
_space_group_IT_number 12
_cell_length_a 8.357
_cell_length_b 5.120
_cell_length_c 5.160
_cell_angle_alpha 90.00
_cell_angle_beta 123.61
_cell_angle_gamma 90.00
loop_
_space_group_symop_operation_xyz
'x,y,z'
'-x,-y,-z'
'-x,y,-z'
'x,-y,z'
'x+1/2,y+1/2,z'
'-x+1/2,-y+1/2,-z'
'-x+1/2,y+1/2,-z'
'x+1/2,-y+1/2,z'
loop_
_atom_site_label
_atom_site_type_symbol
_atom_site_fract_x
_atom_site_fract_y
_atom_site_fract_z
Sc1 Sc 0.126 0.000 0.373
Mn1 Mn 0.000 0.500 0.000
Mn2 Mn 0.250 0.250 0.000
Ru1 Ru 0.000 0.500 0.500